A.
# Lu2Sn2O5

A relaxed structure of Lu2Sn2O5 (PBE, OQMD via LeMat-Bulk).

space-group type	P4/mmm, No. 123
calculated volume	15.67	Å³ per atom

Cell: 8.080 4.177 4.177 Å, 90.00 90.00 90.00°
Atoms (fractional coordinates):
1 O 0.811 0.000 0.500
2 O 0.189 0.000 0.500
3 O 0.811 0.500 0.000
4 O 0.189 0.500 0.000
5 O 0.500 0.500 0.500
6 Lu 0.245 0.500 0.500
7 Lu 0.755 0.500 0.500
8 Sn 0.500 0.000 0.000
9 Sn 0.000 0.000 0.000



B.
# Lu2Sn2O5

A relaxed structure of Lu2Sn2O5 (PBE, OQMD via LeMat-Bulk).

space-group type	P4/mmm, No. 123
calculated volume	13.33	Å³ per atom

Cell: 6.981 4.145 4.145 Å, 90.00 90.00 90.00°
Atoms (fractional coordinates):
1 O 0.738 0.500 0.000
2 O 0.500 0.500 0.500
3 O 0.262 0.500 0.000
4 O 0.262 0.000 0.500
5 O 0.738 0.000 0.500
6 Sn 0.794 0.500 0.500
7 Sn 0.206 0.500 0.500
8 Lu 0.000 0.000 0.000
9 Lu 0.500 0.000 0.000



Which is the most stable structure? A is the most stable.